Entry 1:
# PmPaC2 (PBE, optimized geometry)
# Uncorrected energy in eV per atom: -8.47
# ΔH_f (0 K) in eV per atom: -0.294
# Energy above the lowest structure with this stoichiometry in meV/atom: 0
data_PmPaC2
_space_group_name_H-M_alt 'R -3 m'
_space_group_IT_number 166
_space_group_name_Hall '-R 3 2"'
_cell_length_a 3.6728
_cell_length_b 3.6728
_cell_length_c 17.9335
_cell_angle_alpha 90.00
_cell_angle_beta 90.00
_cell_angle_gamma 120.00
loop_
_atom_site_label
_atom_site_type_symbol
_atom_site_fract_x
_atom_site_fract_y
_atom_site_fract_z
Pm1 Pm 0.0000 0.0000 0.0000
Pa1 Pa 0.0000 0.0000 0.5000
C1 C 0.0000 0.0000 0.2389

=====

Entry 2:
# PmPaC (PBE, optimized geometry)
# Uncorrected energy in eV per atom: -7.41
# ΔH_f (0 K) in eV per atom: 0.417
# Energy above the lowest structure with this stoichiometry in meV/atom: 544
data_PmPaC
_space_group_name_H-M_alt 'F -4 3 m'
_space_group_IT_number 216
_space_group_name_Hall 'F -4 2 3'
_cell_length_a 6.1757
_cell_length_b 6.1757
_cell_length_c 6.1757
_cell_angle_alpha 90.00
_cell_angle_beta 90.00
_cell_angle_gamma 90.00
loop_
_atom_site_label
_atom_site_type_symbol
_atom_site_fract_x
_atom_site_fract_y
_atom_site_fract_z
Pm1 Pm 0.0000 0.0000 0.0000
Pa1 Pa 0.0000 0.0000 0.5000
C1 C 0.2500 0.2500 0.7500

=====

Entry 3:
# PmPaC (PBE, optimized geometry)
# Uncorrected energy in eV per atom: -7.95
# ΔH_f (0 K) in eV per atom: -0.127
# Energy above the lowest structure with this stoichiometry in meV/atom: 0
data_PmPaC
_space_group_name_H-M_alt 'P 3 m 1'
_space_group_IT_number 156
_cell_length_a 3.5522
_cell_length_b 3.5522
_cell_length_c 6.1871
_cell_angle_alpha 90.00
_cell_angle_beta 90.00
_cell_angle_gamma 120.00
loop_
_space_group_symop_operation_xyz
'x,y,z'
'-y,x-y,z'
'-x+y,-x,z'
'-y,-x,z'
'-x+y,y,z'
'x,x-y,z'
loop_
_atom_site_label
_atom_site_type_symbol
_atom_site_fract_x
_atom_site_fract_y
_atom_site_fract_z
Pm1 Pm 0.0000 0.0000 0.0000
Pa1 Pa 0.3333 0.6667 0.4623
C1 C 0.6667 0.3333 0.2660

=====

Entry 4:
# PmPa2ReC4 (PBE, optimized geometry)
# Uncorrected energy in eV per atom: -9.29
# ΔH_f (0 K) in eV per atom: -0.158
data_PmPa2ReC4
_space_group_name_H-M_alt 'C m c m'
_space_group_IT_number 63
_space_group_name_Hall '-C 2c 2'
_cell_length_a 3.6304
_cell_length_b 11.9503
_cell_length_c 12.0030
_cell_angle_alpha 90.00
_cell_angle_beta 90.00
_cell_angle_gamma 90.00
loop_
_atom_site_label
_atom_site_type_symbol
_atom_site_fract_x
_atom_site_fract_y
_atom_site_fract_z
Pm1 Pm 0.0000 0.1179 0.2500
Pa1 Pa 0.0000 0.3678 0.0426
Re1 Re 0.0000 0.1465 0.7500
C1 C 0.0000 0.0000 0.0000
C2 C 0.0000 0.2600 0.6262
C3 C 0.0000 0.4267 0.2500

=====

Entry 5:
# PmPa2RuC4 (PBE, optimized geometry)
# Uncorrected energy in eV per atom: -8.88
# ΔH_f (0 K) in eV per atom: -0.142
data_PmPa2RuC4
_space_group_name_H-M_alt 'C m c m'
_space_group_IT_number 63
_space_group_name_Hall '-C 2c 2'
_cell_length_a 3.5927
_cell_length_b 11.8735
_cell_length_c 11.9638
_cell_angle_alpha 90.00
_cell_angle_beta 90.00
_cell_angle_gamma 90.00
loop_
_atom_site_label
_atom_site_type_symbol
_atom_site_fract_x
_atom_site_fract_y
_atom_site_fract_z
Pm1 Pm 0.0000 0.1125 0.2500
Pa1 Pa 0.0000 0.3676 0.0442
Ru1 Ru 0.0000 0.1513 0.7500
C1 C 0.0000 0.0000 0.0000
C2 C 0.0000 0.2624 0.6241
C3 C 0.0000 0.4299 0.2500

=====

Entry 6:
# PmPaCS (PBE, optimized geometry)
# Raw formation energy in meV/atom: -969
# Uncorrected energy in eV per atom: -7.87
data_PmPaCS
_space_group_name_H-M_alt 'R -3 m'
_space_group_IT_number 166
_space_group_name_Hall '-R 3 2"'
_cell_length_a 3.9153
_cell_length_b 3.9153
_cell_length_c 39.9307
_cell_angle_alpha 90.00
_cell_angle_beta 90.00
_cell_angle_gamma 120.00
loop_
_atom_site_label
_atom_site_type_symbol
_atom_site_fract_x
_atom_site_fract_y
_atom_site_fract_z
Pm1 Pm 0.0000 0.0000 0.2049
Pa1 Pa 0.0000 0.0000 0.3696
C1 C 0.0000 0.0000 0.3111
S1 S 0.0000 0.0000 0.0844

=====

Entry 7:
# PmPa2SiC4 (PBE, optimized geometry)
# Raw formation energy in meV/atom: -272
# Uncorrected energy in eV per atom: -8.53
data_PmPa2SiC4
_space_group_name_H-M_alt 'C m c m'
_space_group_IT_number 63
_space_group_name_Hall '-C 2c 2'
_cell_length_a 3.5798
_cell_length_b 11.8045
_cell_length_c 11.7737
_cell_angle_alpha 90.00
_cell_angle_beta 90.00
_cell_angle_gamma 90.00
loop_
_atom_site_label
_atom_site_type_symbol
_atom_site_fract_x
_atom_site_fract_y
_atom_site_fract_z
Pm1 Pm 0.0000 0.1003 0.2500
Pa1 Pa 0.0000 0.3697 0.0506
Si1 Si 0.0000 0.1684 0.7500
C1 C 0.0000 0.0000 0.0000
C2 C 0.0000 0.2646 0.6231
C3 C 0.0000 0.4184 0.2500

=====

Entry 8:
# PmPa2VC4 (PBE, optimized geometry)
# Uncorrected energy in eV per atom: -8.94
# ΔH_f (0 K) in eV per atom: -0.217
data_PmPa2VC4
_space_group_name_H-M_alt 'C m c m'
_space_group_IT_number 63
_space_group_name_Hall '-C 2c 2'
_cell_length_a 3.5518
_cell_length_b 11.8402
_cell_length_c 12.2779
_cell_angle_alpha 90.00
_cell_angle_beta 90.00
_cell_angle_gamma 90.00
loop_
_atom_site_label
_atom_site_type_symbol
_atom_site_fract_x
_atom_site_fract_y
_atom_site_fract_z
Pm1 Pm 0.0000 0.1039 0.2500
Pa1 Pa 0.0000 0.3687 0.0473
V1 V 0.0000 0.1670 0.7500
C1 C 0.0000 0.0000 0.0000
C2 C 0.0000 0.2619 0.6249
C3 C 0.0000 0.4164 0.2500

=====

Entry 9:
# PmPa2WC4 (PBE, optimized geometry)
# Uncorrected energy in eV per atom: -9.32
# ΔH_f (0 K) in eV per atom: -0.121
data_PmPa2WC4
_space_group_name_H-M_alt 'C m c m'
_space_group_IT_number 63
_space_group_name_Hall '-C 2c 2'
_cell_length_a 3.5226
_cell_length_b 12.1184
_cell_length_c 12.5041
_cell_angle_alpha 90.00
_cell_angle_beta 90.00
_cell_angle_gamma 90.00
loop_
_atom_site_label
_atom_site_type_symbol
_atom_site_fract_x
_atom_site_fract_y
_atom_site_fract_z
Pm1 Pm 0.0000 0.1009 0.2500
Pa1 Pa 0.0000 0.3691 0.0416
W1 W 0.0000 0.1641 0.7500
C1 C 0.0000 0.0000 0.0000
C2 C 0.0000 0.2617 0.6234
C3 C 0.0000 0.4271 0.2500

=====

Entry 10:
# PrPaC (PBE, optimized geometry)
# Uncorrected energy in eV per atom: -7.63
# ΔH_f (0 K) in eV per atom: 0.202
# Energy above the lowest structure with this stoichiometry in meV/atom: 286
data_PrPaC
_space_group_name_H-M_alt 'C 1 2/m 1'
_space_group_IT_number 12
_cell_length_a 5.7998
_cell_length_b 5.8005
_cell_length_c 7.7746
_cell_angle_alpha 90.00
_cell_angle_beta 111.82
_cell_angle_gamma 90.00
loop_
_space_group_symop_operation_xyz
'x,y,z'
'-x,-y,-z'
'-x,y,-z'
'x,-y,z'
'x+1/2,y+1/2,z'
'-x+1/2,-y+1/2,-z'
'-x+1/2,y+1/2,-z'
'x+1/2,-y+1/2,z'
loop_
_atom_site_label
_atom_site_type_symbol
_atom_site_fract_x
_atom_site_fract_y
_atom_site_fract_z
Pr1 Pr 0.1835 0.0000 0.3667
Pa1 Pa 0.2500 0.2500 0.0000
C1 C 0.1110 0.5000 0.2236

=====

Entry 11:
# PrPaC (PBE, optimized geometry)
# Uncorrected energy in eV per atom: -7.92
# ΔH_f (0 K) in eV per atom: -0.084
# Energy above the lowest structure with this stoichiometry in meV/atom: 0
data_PrPaC
_space_group_name_H-M_alt 'P 3 m 1'
_space_group_IT_number 156
_cell_length_a 3.5826
_cell_length_b 3.5826
_cell_length_c 6.2694
_cell_angle_alpha 90.00
_cell_angle_beta 90.00
_cell_angle_gamma 120.00
loop_
_space_group_symop_operation_xyz
'x,y,z'
'-y,x-y,z'
'-x+y,-x,z'
'-y,-x,z'
'-x+y,y,z'
'x,x-y,z'
loop_
_atom_site_label
_atom_site_type_symbol
_atom_site_fract_x
_atom_site_fract_y
_atom_site_fract_z
Pr1 Pr 0.0000 0.0000 0.0000
Pa1 Pa 0.3333 0.6667 0.4620
C1 C 0.6667 0.3333 0.2745

=====

Entry 12:
# PrPaC (PBE, optimized geometry)
# Uncorrected energy in eV per atom: -7.60
# ΔH_f (0 K) in eV per atom: 0.235
# Energy above the lowest structure with this stoichiometry in meV/atom: 318
data_PrPaC
_space_group_name_H-M_alt 'I 4 m m'
_space_group_IT_number 107
_space_group_name_Hall 'I 4 -2'
_cell_length_a 3.2278
_cell_length_b 3.2278
_cell_length_c 12.4680
_cell_angle_alpha 90.00
_cell_angle_beta 90.00
_cell_angle_gamma 90.00
loop_
_atom_site_label
_atom_site_type_symbol
_atom_site_fract_x
_atom_site_fract_y
_atom_site_fract_z
Pr1 Pr 0.0000 0.0000 0.0000
Pa1 Pa 0.0000 0.0000 0.7515
C1 C 0.0000 0.0000 0.3217

=====

Entry 13:
# PrPa2ReC4 (PBE, optimized geometry)
# Uncorrected energy in eV per atom: -9.30
# ΔH_f (0 K) in eV per atom: -0.156
data_PrPa2ReC4
_space_group_name_H-M_alt 'C m c m'
_space_group_IT_number 63
_space_group_name_Hall '-C 2c 2'
_cell_length_a 3.6476
_cell_length_b 12.0156
_cell_length_c 12.0726
_cell_angle_alpha 90.00
_cell_angle_beta 90.00
_cell_angle_gamma 90.00
loop_
_atom_site_label
_atom_site_type_symbol
_atom_site_fract_x
_atom_site_fract_y
_atom_site_fract_z
Pr1 Pr 0.0000 0.1137 0.2500
Pa1 Pa 0.0000 0.3679 0.0430
Re1 Re 0.0000 0.1500 0.7500
C1 C 0.0000 0.0000 0.0000
C2 C 0.0000 0.2583 0.6242
C3 C 0.0000 0.4219 0.2500

=====

Entry 14:
# PrPaCSe (PBE, optimized geometry)
# Raw formation energy in meV/atom: -876
# Uncorrected energy in eV per atom: -7.62
data_PrPaCSe
_space_group_name_H-M_alt 'R -3 m'
_space_group_IT_number 166
_space_group_name_Hall '-R 3 2"'
_cell_length_a 3.9650
_cell_length_b 3.9650
_cell_length_c 42.1076
_cell_angle_alpha 90.00
_cell_angle_beta 90.00
_cell_angle_gamma 120.00
loop_
_atom_site_label
_atom_site_type_symbol
_atom_site_fract_x
_atom_site_fract_y
_atom_site_fract_z
Pr1 Pr 0.0000 0.0000 0.2035
Pa1 Pa 0.0000 0.0000 0.3673
C1 C 0.0000 0.0000 0.3122
Se1 Se 0.0000 0.0000 0.0828

=====

Entry 15:
# PrPaCSe2 (PBE, optimized geometry)
# Raw formation energy in meV/atom: -1233
# Uncorrected energy in eV per atom: -7.33
data_PrPaCSe2
_space_group_name_H-M_alt 'P 4/n m m'
_space_group_IT_number 129
_cell_length_a 4.0424
_cell_length_b 4.0424
_cell_length_c 15.1308
_cell_angle_alpha 90.00
_cell_angle_beta 90.00
_cell_angle_gamma 90.00
loop_
_space_group_symop_operation_xyz
'x,y,z'
'-x,-y,-z'
'-y+1/2,x,z'
'y+1/2,-x,-z'
'-x+1/2,-y+1/2,z'
'x+1/2,y+1/2,-z'
'y,-x+1/2,z'
'-y,x+1/2,-z'
'x+1/2,-y,-z'
'-x+1/2,y,z'
'-y,-x,-z'
'y,x,z'
'-x,y+1/2,-z'
'x,-y+1/2,z'
'y+1/2,x+1/2,-z'
'-y+1/2,-x+1/2,z'
loop_
_atom_site_label
_atom_site_type_symbol
_atom_site_fract_x
_atom_site_fract_y
_atom_site_fract_z
Pr1 Pr 0.2500 0.2500 0.1312
Pa1 Pa 0.2500 0.2500 0.5764
C1 C 0.2500 0.7500 0.5000
Se1 Se 0.2500 0.2500 0.3177
Se2 Se 0.2500 0.2500 0.9127

=====

Entry 16:
# PrPaTe2C (PBE, optimized geometry)
# Raw formation energy in meV/atom: -930
# Uncorrected energy in eV per atom: -6.89
data_PrPaTe2C
_space_group_name_H-M_alt 'P 4/n m m'
_space_group_IT_number 129
_cell_length_a 4.1726
_cell_length_b 4.1726
_cell_length_c 16.5246
_cell_angle_alpha 90.00
_cell_angle_beta 90.00
_cell_angle_gamma 90.00
loop_
_space_group_symop_operation_xyz
'x,y,z'
'-x,-y,-z'
'-y+1/2,x,z'
'y+1/2,-x,-z'
'-x+1/2,-y+1/2,z'
'x+1/2,y+1/2,-z'
'y,-x+1/2,z'
'-y,x+1/2,-z'
'x+1/2,-y,-z'
'-x+1/2,y,z'
'-y,-x,-z'
'y,x,z'
'-x,y+1/2,-z'
'x,-y+1/2,z'
'y+1/2,x+1/2,-z'
'-y+1/2,-x+1/2,z'
loop_
_atom_site_label
_atom_site_type_symbol
_atom_site_fract_x
_atom_site_fract_y
_atom_site_fract_z
Pr1 Pr 0.2500 0.2500 0.1430
Pa1 Pa 0.2500 0.2500 0.5652
Te1 Te 0.2500 0.2500 0.3263
Te2 Te 0.2500 0.2500 0.9200
C1 C 0.2500 0.7500 0.5000

=====

Entry 17:
# PrPa2VC4 (PBE, optimized geometry)
# Uncorrected energy in eV per atom: -8.94
# ΔH_f (0 K) in eV per atom: -0.217
data_PrPa2VC4
_space_group_name_H-M_alt 'C m c m'
_space_group_IT_number 63
_space_group_name_Hall '-C 2c 2'
_cell_length_a 3.5706
_cell_length_b 11.9746
_cell_length_c 12.2524
_cell_angle_alpha 90.00
_cell_angle_beta 90.00
_cell_angle_gamma 90.00
loop_
_atom_site_label
_atom_site_type_symbol
_atom_site_fract_x
_atom_site_fract_y
_atom_site_fract_z
Pr1 Pr 0.0000 0.1017 0.2500
Pa1 Pa 0.0000 0.3689 0.0474
V1 V 0.0000 0.1679 0.7500
C1 C 0.0000 0.0000 0.0000
C2 C 0.0000 0.2595 0.6228
C3 C 0.0000 0.4130 0.2500

=====

Entry 18:
# PrPa2WC4 (PBE, optimized geometry)
# Uncorrected energy in eV per atom: -9.32
# ΔH_f (0 K) in eV per atom: -0.122
data_PrPa2WC4
_space_group_name_H-M_alt 'C m c m'
_space_group_IT_number 63
_space_group_name_Hall '-C 2c 2'
_cell_length_a 3.5525
_cell_length_b 12.2359
_cell_length_c 12.4660
_cell_angle_alpha 90.00
_cell_angle_beta 90.00
_cell_angle_gamma 90.00
loop_
_atom_site_label
_atom_site_type_symbol
_atom_site_fract_x
_atom_site_fract_y
_atom_site_fract_z
Pr1 Pr 0.0000 0.0979 0.2500
Pa1 Pa 0.0000 0.3696 0.0423
W1 W 0.0000 0.1660 0.7500
C1 C 0.0000 0.0000 0.0000
C2 C 0.0000 0.2596 0.6209
C3 C 0.0000 0.4223 0.2500

=====

Entry 19:
# Pa6PtC4 (PBE, optimized geometry)
# Uncorrected energy in eV per atom: -9.59
# ΔH_f (0 K) in eV per atom: -0.506
data_Pa6PtC4
_space_group_name_H-M_alt 'C m c m'
_space_group_IT_number 63
_space_group_name_Hall '-C 2c 2'
_cell_length_a 3.5794
_cell_length_b 11.8135
_cell_length_c 19.0628
_cell_angle_alpha 90.00
_cell_angle_beta 90.00
_cell_angle_gamma 90.00
loop_
_atom_site_label
_atom_site_type_symbol
_atom_site_fract_x
_atom_site_fract_y
_atom_site_fract_z
Pa1 Pa 0.0000 0.0000 0.0000
Pa2 Pa 0.0000 0.1428 0.2500
Pa3 Pa 0.0000 0.2737 0.5814
Pa4 Pa 0.0000 0.4507 0.1500
Pt1 Pt 0.0000 0.1643 0.7500
C1 C 0.0000 0.0882 0.1236
C2 C 0.0000 0.3565 0.0353

=====

Entry 20:
# PuPa2C3 (PBE, optimized geometry)
# Uncorrected energy in eV per atom: -10.44
# ΔH_f (0 K) in eV per atom: -0.270
data_PuPa2C3
_space_group_name_H-M_alt 'I m m m'
_space_group_IT_number 71
_space_group_name_Hall '-I 2 2'
_cell_length_a 3.6150
_cell_length_b 5.0429
_cell_length_c 10.7714
_cell_angle_alpha 90.00
_cell_angle_beta 90.00
_cell_angle_gamma 90.00
loop_
_atom_site_label
_atom_site_type_symbol
_atom_site_fract_x
_atom_site_fract_y
_atom_site_fract_z
Pu1 Pu 0.0000 0.0000 0.0000
Pa1 Pa 0.0000 0.0000 0.3332
C1 C 0.0000 0.5000 0.0000
C2 C 0.0000 0.5000 0.3241

=====

Entry 21:
# PuPa4C5 (PBE, optimized geometry)
# Uncorrected energy in eV per atom: -10.19
# ΔH_f (0 K) in eV per atom: -0.349
data_PuPa4C5
_space_group_name_H-M_alt 'I m m m'
_space_group_IT_number 71
_space_group_name_Hall '-I 2 2'
_cell_length_a 3.6121
_cell_length_b 5.0579
_cell_length_c 17.9004
_cell_angle_alpha 90.00
_cell_angle_beta 90.00
_cell_angle_gamma 90.00
loop_
_atom_site_label
_atom_site_type_symbol
_atom_site_fract_x
_atom_site_fract_y
_atom_site_fract_z
Pu1 Pu 0.0000 0.0000 0.0000
Pa1 Pa 0.0000 0.0000 0.1988
Pa2 Pa 0.0000 0.0000 0.4010
C1 C 0.0000 0.5000 0.0000
C2 C 0.0000 0.5000 0.1994
C3 C 0.0000 0.5000 0.3959